Computed, not measured: a relaxed structure of AcPrSm3Er at the PBE level of DFT.

CIF file:
```
data_AcPrSm3Er
_space_group_name_H-M_alt 'P 1 21/m 1'
_space_group_IT_number 11
_space_group_name_Hall '-P 2yb'
_cell_length_a 8.2534
_cell_length_b 5.2123
_cell_length_c 10.4068
_cell_angle_alpha 90.00
_cell_angle_beta 108.67
_cell_angle_gamma 90.00
loop_
_atom_site_label
_atom_site_fract_x
_atom_site_fract_y
_atom_site_fract_z
Ac1 0.1678 0.2500 0.2935
Pr1 0.4962 0.7500 0.8740
Sm1 0.1697 0.7500 0.0405
Sm2 0.1710 0.2500 0.7912
Sm3 0.1722 0.7500 0.5455
Er1 0.4982 0.2500 0.6252
```

Values from the calculation:
Crystal system: monoclinic
V in Å³/cell: 424
Density of states at the Fermi level in states/eV/f.u.: 9.95
Electronic total energy in eV per atom: -4.56



Computed, not measured: a relaxed structure of TbNd6Mg5 at the PBE level of DFT.

CIF file:
```
data_TbNd6Mg5
_space_group_name_H-M_alt 'P 1 2/m 1'
_space_group_IT_number 10
_space_group_name_Hall '-P 2y'
_cell_length_a 5.5316
_cell_length_b 7.8276
_cell_length_c 8.8040
_cell_angle_alpha 90.00
_cell_angle_beta 108.28
_cell_angle_gamma 90.00
loop_
_atom_site_label
_atom_site_fract_x
_atom_site_fract_y
_atom_site_fract_z
Tb1 0.0000 0.0000 0.0000
Nd1 0.1684 0.2525 0.3411
Nd2 0.5000 0.2617 0.0000
Mg1 0.0000 0.5000 0.0000
Mg2 0.3360 0.5000 0.6659
Mg3 0.3411 0.0000 0.6773
```

Values from the calculation:
Crystal system: monoclinic
V in Å³/cell: 362
Density of states at the Fermi level in states/eV/f.u.: 13.54
Electronic total energy in eV per atom: -3.49



Computed, not measured: a relaxed structure of Dy2YErTh at the PBE level of DFT.

CIF file:
```
data_Dy2YErTh
_space_group_name_H-M_alt 'C m c m'
_space_group_IT_number 63
_space_group_name_Hall '-C 2c 2'
_cell_length_a 6.3982
_cell_length_b 16.5892
_cell_length_c 6.3633
_cell_angle_alpha 90.00
_cell_angle_beta 90.00
_cell_angle_gamma 90.00
loop_
_atom_site_label
_atom_site_fract_x
_atom_site_fract_y
_atom_site_fract_z
Dy1 0.2477 0.0000 0.0000
Y1 0.0000 0.3431 0.2500
Er1 0.0000 0.2389 0.7500
Th1 0.0000 0.1563 0.2500
```

Values from the calculation:
Crystal system: orthorhombic
V in Å³/cell: 675
Density of states at the Fermi level in states/eV/f.u.: 6.10
Electronic total energy in eV per atom: -5.12



Computed, not measured: a relaxed structure of CdGa3S at the PBE level of DFT.

CIF file:
```
data_CdGa3S
_space_group_name_H-M_alt 'P m -3 m'
_space_group_IT_number 221
_space_group_name_Hall '-P 4 2 3'
_cell_length_a 5.0231
_cell_length_b 5.0231
_cell_length_c 5.0231
_cell_angle_alpha 90.00
_cell_angle_beta 90.00
_cell_angle_gamma 90.00
loop_
_atom_site_label
_atom_site_fract_x
_atom_site_fract_y
_atom_site_fract_z
Cd1 0.0000 0.0000 0.0000
Ga1 0.0000 0.5000 0.5000
S1 0.5000 0.5000 0.5000
```

Values from the calculation:
Energy above the lowest structure with this stoichiometry in meV/atom: 0
Formation energy (no corrections) in kJ per mole of atoms: 27.5
Crystal system: cubic
V in Å³/cell: 127
Density of states at the Fermi level in states/eV/f.u.: 2.31



Computed, not measured: a relaxed structure of CsTi at the PBE level of DFT.

CIF file:
```
data_CsTi
_space_group_name_H-M_alt 'I 4/m'
_space_group_IT_number 87
_space_group_name_Hall '-I 4'
_cell_length_a 16.4279
_cell_length_b 16.4279
_cell_length_c 3.4854
_cell_angle_alpha 90.00
_cell_angle_beta 90.00
_cell_angle_gamma 90.00
loop_
_atom_site_label
_atom_site_fract_x
_atom_site_fract_y
_atom_site_fract_z
Cs1 0.0296 0.7492 0.0000
Ti1 0.1938 0.2497 0.5000
```

Values from the calculation:
Energy above the lowest structure with this stoichiometry in meV/atom: 369
Crystal system: tetragonal
V in Å³/cell: 941
Density of states at the Fermi level in states/eV/f.u.: 3.27



Computed, not measured: a relaxed structure of MnNbReRu at the PBE level of DFT.

CIF file:
```
data_MnNbReRu
_space_group_name_H-M_alt 'F -4 3 m'
_space_group_IT_number 216
_space_group_name_Hall 'F -4 2 3'
_cell_length_a 6.2243
_cell_length_b 6.2243
_cell_length_c 6.2243
_cell_angle_alpha 90.00
_cell_angle_beta 90.00
_cell_angle_gamma 90.00
loop_
_atom_site_label
_atom_site_fract_x
_atom_site_fract_y
_atom_site_fract_z
Mn1 0.0000 0.0000 0.0000
Nb1 0.0000 0.0000 0.5000
Re1 0.2500 0.2500 0.2500
Ru1 0.2500 0.2500 0.7500
```

Values from the calculation:
Crystal system: cubic
V in Å³/cell: 241
Density of states at the Fermi level in states/eV/f.u.: 3.91
Electronic total energy in eV per atom: -10.29



Computed, not measured: a relaxed structure of Be2Pb at the PBE level of DFT.

CIF file:
```
data_Be2Pb
_space_group_name_H-M_alt 'P -6 2 m'
_space_group_IT_number 189
_space_group_name_Hall 'P -6 -2'
_cell_length_a 6.7564
_cell_length_b 6.7564
_cell_length_c 3.7839
_cell_angle_alpha 90.00
_cell_angle_beta 90.00
_cell_angle_gamma 120.00
loop_
_atom_site_label
_atom_site_fract_x
_atom_site_fract_y
_atom_site_fract_z
Be1 0.0000 0.2646 0.0000
Be2 0.0000 0.6233 0.5000
Pb1 0.0000 0.0000 0.5000
Pb2 0.3333 0.6667 0.0000
```

Values from the calculation:
Energy above the lowest structure with this stoichiometry in meV/atom: 696
Crystal system: hexagonal
V in Å³/cell: 150
Density of states at the Fermi level in states/eV/f.u.: 0.57



Computed, not measured: a relaxed structure of Zr2Al2Cu at the PBE level of DFT.

CIF file:
```
data_Zr2Al2Cu
_space_group_name_H-M_alt 'C 1 2/c 1'
_space_group_IT_number 15
_space_group_name_Hall '-C 2yc'
_cell_length_a 10.7549
_cell_length_b 5.5159
_cell_length_c 6.9178
_cell_angle_alpha 90.00
_cell_angle_beta 114.45
_cell_angle_gamma 90.00
loop_
_atom_site_label
_atom_site_fract_x
_atom_site_fract_y
_atom_site_fract_z
Zr1 0.1266 0.0954 0.4777
Al1 0.1338 0.4007 0.1292
Cu1 0.0000 0.3258 0.7500
```

Values from the calculation:
Energy above the lowest structure with this stoichiometry in meV/atom: 187
Crystal system: monoclinic
V in Å³/cell: 374
Density of states at the Fermi level in states/eV/f.u.: 3.67